[1]
CdCuCl3 (meta-GGA SCAN, single point on PBEsol structure); crystal system = cubic; energy relative to the elements, uncorrected = -0.349 eV per atom
1.0
-4.2164 -2.5289 -1.1525
2.7604 -4.0536 -1.2043
-0.3220 -1.6355 4.7669
Cl Cd Cu
3 1 1
Direct
0.0000 0.0000 0.5000 Cl
0.5000 0.0000 0.0000 Cl
0.0000 0.5000 0.0000 Cl
0.0000 0.0000 0.0000 Cd
0.5000 0.5000 0.5000 Cu

---

[2]
LiHgCl (meta-GGA SCAN, single point on PBEsol structure); polymorph energy (0 for the lowest one) = 0.266 eV per atom; DOS(E_F) = 0.00 states/eV per cell; crystal system = cubic; energy relative to the elements, uncorrected = -0.948 eV per atom
1.0
-1.8626 -0.0334 -4.2665
-3.5408 -2.8621 -0.9718
-4.2675 1.7276 -0.6904
Hg Cl Li
1 1 1
Direct
0.5000 0.5000 0.5000 Hg
0.0000 0.0000 0.0000 Cl
0.7500 0.7500 0.7500 Li

---

[3]
BaSrTa2O7 (meta-GGA SCAN, single point on PBEsol structure); DOS(E_F) = 0.00 states/eV per cell; crystal system = orthorhombic; energy relative to the elements, uncorrected = -3.299 eV per atom
1.0
3.9913 0.0000 0.0000
0.0000 7.8226 0.0000
-1.9956 -3.9113 10.1036
Ta O Sr Ba
4 14 2 2
Direct
0.8973 0.6494 0.7945 Ta
0.1027 0.8548 0.2055 Ta
0.8973 0.1452 0.7945 Ta
0.1027 0.3506 0.2055 Ta
0.1934 0.3942 0.3867 O
0.8066 0.0074 0.6133 O
0.5921 0.8455 0.1842 O
0.0784 0.0784 0.1569 O
0.8862 0.3862 0.7723 O
0.4079 0.6613 0.8158 O
0.5921 0.3387 0.1842 O
0.4079 0.1545 0.8158 O
0.8066 0.6058 0.6133 O
0.0000 0.2900 0.0000 O
0.1138 0.6138 0.2277 O
0.0000 0.7100 0.0000 O
0.9216 0.9216 0.8431 O
0.1934 0.9926 0.3867 O
0.5000 0.5000 0.0000 Sr
0.5000 0.0000 0.0000 Sr
0.7390 0.2390 0.4780 Ba
0.2610 0.7610 0.5220 Ba

---

[4]
TlCl5 (meta-GGA SCAN, single point on PBEsol structure); polymorph energy (0 for the lowest one) = 0.502 eV per atom; DOS(E_F) = 7.29 states/eV per cell; crystal system = cubic; energy relative to the elements, uncorrected = 0.232 eV per atom
1.0
5.7259 0.0000 0.0000
2.8630 4.9588 0.0000
2.8630 1.6529 4.6752
Cl Tl
5 1
Direct
0.6239 0.1282 0.6239 Cl
0.1282 0.6239 0.6239 Cl
0.2500 0.2500 0.2500 Cl
0.6239 0.6239 0.6239 Cl
0.6239 0.6239 0.1282 Cl
0.0000 0.0000 0.0000 Tl

---

[5]
BaPd (meta-GGA SCAN, single point on PBEsol structure); energy of formation from the pure elements = -507 meV/atom; DOS(E_F) = 5.39 states/eV per cell; crystal system = hexagonal
1.0
4.5520 0.0000 0.0000
-2.2760 3.9421 0.0000
0.0000 0.0000 16.3138
Pd Ba
4 4
Direct
0.0000 0.0000 0.2500 Pd
0.0000 0.0000 0.7500 Pd
0.6667 0.3333 0.2500 Pd
0.3333 0.6667 0.7500 Pd
0.6667 0.3333 0.6284 Ba
0.3333 0.6667 0.1284 Ba
0.6667 0.3333 0.8716 Ba
0.3333 0.6667 0.3716 Ba

---

[6]
SrCa7Ti2Mn6O24 (meta-GGA SCAN, single point on PBEsol structure); crystal system = orthorhombic; energy relative to the elements, uncorrected = -2.879 eV per atom
1.0
7.5184 0.0000 0.0424
0.0000 7.4490 0.0000
0.0459 0.0000 7.5184
O Ti Mn Ca Sr
24 2 6 7 1
Direct
0.7489 0.7089 0.5004 O
0.5004 0.7089 0.7489 O
0.7456 0.7881 0.0069 O
0.0362 0.5000 0.5449 O
0.9646 0.0000 0.4551 O
0.0069 0.2119 0.7456 O
0.4551 0.0000 0.9646 O
0.4982 0.2093 0.2499 O
0.4982 0.7907 0.2499 O
0.9613 0.5000 0.9613 O
0.2499 0.7907 0.4982 O
0.0069 0.7881 0.7456 O
0.2499 0.2093 0.4982 O
0.5004 0.2911 0.7489 O
0.7489 0.2911 0.5004 O
0.5449 0.5000 0.0362 O
0.5270 0.0000 0.5270 O
0.2562 0.2952 0.0021 O
0.0021 0.7048 0.2562 O
0.4612 0.5000 0.4612 O
0.7456 0.2119 0.0069 O
0.0021 0.2952 0.2562 O
0.2562 0.7048 0.0021 O
0.0388 0.0000 0.0388 O
0.0007 0.2506 0.0007 Ti
0.0007 0.7494 0.0007 Ti
0.4981 0.7482 0.4981 Mn
0.4993 0.2514 0.0014 Mn
0.4993 0.7486 0.0014 Mn
0.4981 0.2518 0.4981 Mn
0.0014 0.2514 0.4993 Mn
0.0014 0.7486 0.4993 Mn
0.7441 0.5000 0.7441 Ca
0.7527 0.5000 0.2577 Ca
0.7391 0.0000 0.2499 Ca
0.2562 0.0000 0.2562 Ca
0.2499 0.0000 0.7391 Ca
0.2577 0.5000 0.7527 Ca
0.2481 0.5000 0.2481 Ca
0.7479 0.0000 0.7479 Sr

---

Result set for calculated volume: 128.8 71.3 157.7 132.7 73.2 421.0 Å³/f.u., one per record in the order listed.
Result set for uncorrected energy: -71.291 -81.377 -549.810 -110.855 -293.356 -496.208 eV per cell, one per record in the order listed.